Computed, not measured: crystalline Rb3I at its relaxed geometry at the GGA-PBE level of DFT.

Values from the calculation:
Total magnetic moment, μB per cell: 0.000
E_form (uncorrected), eV/atom: -0.550
Space-group type: Pm-3m

Geometry as POSCAR:
```
Rb3I
1.0
6.391 0.000 0.000
0.000 6.391 0.000
0.000 0.000 6.391
Rb I
3 1
direct
0.500 0.500 0.000 Rb
0.000 0.500 0.500 Rb
0.500 0.000 0.500 Rb
0.000 0.000 0.000 I
```